The following is a DFT calculation (PBE) of a geometry-optimized BaNa3PCO7 structure.

Lattice parameters (Å, degrees): 7.2290 5.5953 9.3197 87.08 90.00 90.00
Element x y z (fractional)
O: 0.8894 0.1241 0.4053
O: 0.7227 0.7284 0.4009
O: 0.6049 0.1009 0.2489
O: 0.1049 0.8991 0.7511
O: 0.1681 0.3772 0.0952
O: 0.2448 0.5436 0.3027
O: 0.2227 0.2716 0.5991
O: 0.3894 0.8758 0.5947
O: 0.8992 0.8815 0.1804
O: 0.6681 0.6228 0.9048
O: 0.3992 0.1185 0.8196
O: 0.7448 0.4564 0.6973
O: 0.2946 0.7453 0.0894
O: 0.7946 0.2547 0.9106
C: 0.7361 0.4439 0.8383
C: 0.2361 0.5561 0.1617
P: 0.2763 0.0429 0.6929
P: 0.7763 0.9571 0.3071
Ba: 0.7480 0.9610 0.6724
Ba: 0.2480 0.0390 0.3276
Na: 0.5648 0.9691 0.0171
Na: 0.0648 0.0309 0.9829
Na: 0.8035 0.4623 0.1459
Na: 0.3035 0.5377 0.8541
Na: 0.9730 0.4764 0.4988
Na: 0.4730 0.5236 0.5012

## Properties
Relative energy among the computed polymorphs, meV per atom: 0.0

---

The following is a DFT calculation (PBE) of a geometry-optimized BaNa3PCO7 structure.

Lattice parameters (Å, degrees): 7.3808 5.2439 10.0463 88.04 90.00 90.00
Element x y z (fractional)
O: 0.2500 0.3096 0.0566
O: 0.7500 0.5808 0.6501
O: 0.0797 0.8304 0.2946
O: 0.2500 0.4849 0.8490
O: 0.7500 0.9463 0.1190
O: 0.7500 0.6904 0.9434
O: 0.5797 0.1696 0.7054
O: 0.2500 0.0537 0.8810
O: 0.2500 0.7633 0.5186
O: 0.2500 0.4192 0.3499
O: 0.7500 0.2367 0.4814
O: 0.4203 0.8304 0.2946
O: 0.7500 0.5151 0.1510
O: 0.9203 0.1696 0.7054
P: 0.7500 0.2856 0.6347
P: 0.2500 0.7144 0.3653
Na: 0.9818 0.7514 0.7808
Na: 0.5182 0.7514 0.7808
Na: 0.7500 0.2239 0.9260
Na: 0.4818 0.2486 0.2192
Na: 0.2500 0.7761 0.0740
Na: 0.0182 0.2486 0.2192
C: 0.7500 0.7187 0.0721
C: 0.2500 0.2813 0.9279
Ba: 0.7500 0.7555 0.3971
Ba: 0.2500 0.2445 0.6029

## Properties
Relative energy among the computed polymorphs, meV per atom: 15.9

---

The following is a DFT calculation (PBE) of a geometry-optimized BaNaPd2C structure.

Lattice parameters (Å, degrees): 4.7451 6.2916 4.7451 90.00 90.00 90.00
Element x y z (fractional)
C: 0.5000 0.5000 0.5000
Pd: 0.5000 0.0000 0.0000
Pd: 0.0000 0.0000 0.5000
Na: 0.0000 0.0000 0.0000
Ba: 0.0000 0.5000 0.0000

## Properties
Formation energy, eV/atom: 1.5775

---

| no. | M_tot (μB/f.u.) |
| --- | --- |
| 1 | 0.0 |
| 2 | 0.0 |
| 3 | 2.4 |